VASP calculation (GGA-PBE) on an optimized crystal structure of TaV2Mo3.

Calculated formation energy = -0.130 eV/atom
Total magnetic moment = 0.0 μB per formula unit
Density of states at the Fermi level = 4.72 states/eV per cell

a = 3.133 Å, b = 3.133 Å, c = 9.373 Å
α = 90.00°, β = 90.00°, γ = 90.00°
Atoms (fractional coordinates):
Ta 0.500 0.500 0.500
V 0.500 0.500 0.837
V 0.500 0.500 0.163
Mo 0.000 0.000 0.000
Mo 0.000 0.000 0.677
Mo 0.000 0.000 0.323